[1]
! Cs2LiTeBr6 (PBE-GGA, relaxed); values from VASP
! - V: 359.1 Å³/cell
! - VASP energy: -2.776 eV per atom
! - D(E_F): 5.99 states/eV per cell
! - ΔE_f (raw): -1.096 eV per atom
&SYSTEM
  ibrav = 0, nat = 10, ntyp = 4
/
ATOMIC_SPECIES
Cs 132.91 Cs.upf
Li 6.94 Li.upf
Te 127.60 Te.upf
Br 79.90 Br.upf
ATOMIC_POSITIONS angstrom
Cs 3.989 0.000 2.821
Cs 0.000 3.989 2.821
Li 0.000 0.000 0.000
Te 0.000 0.000 5.642
Br 1.914 1.914 0.000
Br 2.075 -2.075 5.642
Br 0.000 0.000 2.903
Br 0.000 0.000 8.381
Br -2.075 2.075 5.642
Br 2.075 2.075 5.642
CELL_PARAMETERS angstrom
-3.989 3.989 5.642
3.989 -3.989 5.642
3.989 3.989 -5.642

---

[2]
! Ba4Re (PBE-GGA, relaxed); values from VASP
! - V: 235.1 Å³/cell
! - VASP energy: -3.234 eV per atom
! - Energy relative to the elements: 77 kJ/mol of atoms
! - Distance to the lowest polymorph of the same formula: 163 meV/atom
! - D(E_F): 6.38 states/eV per cell
&SYSTEM
  ibrav = 0, nat = 5, ntyp = 2
/
ATOMIC_SPECIES
Ba 137.33 Ba.upf
Re 186.21 Re.upf
ATOMIC_POSITIONS angstrom
Ba 1.944 1.944 -1.944
Ba 1.944 -1.944 1.944
Ba -1.944 1.944 1.944
Ba 1.944 1.944 1.944
Re 0.000 0.000 0.000
CELL_PARAMETERS angstrom
-3.888 3.888 3.888
3.888 -3.888 3.888
3.888 3.888 -3.888

---

[3]
! LiSiIr2 (PBE-GGA, relaxed); values from VASP
! - V: 52.7 Å³/cell
! - VASP energy: -6.614 eV per atom
! - D(E_F): 2.72 states/eV per cell
! - ΔE_f (raw): -0.349 eV per atom
&SYSTEM
  ibrav = 0, nat = 4, ntyp = 3
/
ATOMIC_SPECIES
Li 6.94 Li.upf
Si 28.09 Si.upf
Ir 192.22 Ir.upf
ATOMIC_POSITIONS angstrom
Li 0.000 0.000 0.000
Si 1.396 2.175 3.563
Ir 0.000 2.175 1.300
Ir 1.396 0.000 2.238
CELL_PARAMETERS angstrom
2.792 0.000 0.000
0.000 4.350 0.000
0.000 0.000 4.336